First-principles (GGA-PBE) data for a relaxed Li2Cd2Bi crystal, as listed in Alexandria via LeMat-Bulk.

Results
Energy relative to the lowest polymorph listed for this composition   195.1 meV per atom
Formation energy from the elements   -0.048 eV/f.u.
V   27.97 Å³ per atom
Calculated density   5316 kg/m³

Cell: 5.0898 5.0898 6.2334 Å, 90.00 90.00 120.00°
Space group P-6m2 (No. 187)
Inequivalent atoms, fractional coordinates:
Li1 0.0000 0.0000 0.2492 x2
Cd1 0.3333 0.6667 0.5000 x1
Cd2 0.6667 0.3333 0.0000 x1
Bi1 0.3333 0.6667 0.0000 x1